Ag2MoRu | PBE | relaxed

The structure in CIF format:
```
data_Ag2MoRu
_cell_length_a 2.7728
_cell_length_b 2.7728
_cell_length_c 29.1424
_cell_angle_alpha 90.00
_cell_angle_beta 90.00
_cell_angle_gamma 120.00
_symmetry_space_group_name_H-M 'R -3 m'
_symmetry_Int_Tables_number 166
_symmetry_space_group_name_Hall '-R 3 2"'
loop_
_atom_site_label
_atom_site_fract_x
_atom_site_fract_y
_atom_site_fract_z
Ag1 0.0000 0.0000 0.2490
Mo1 0.0000 0.0000 0.0000
Ru1 0.0000 0.0000 0.5000
```

Summary:
- VASP energy: -5.891 eV/atom
- Density: 10.6 g/cm3
- Magnetic moment: 2.4 Bohr magnetons per cell
- Excess energy over the best structure of this formula in the dataset: 8.27 kcal/mol of atoms
- Crystal system: trigonal


AgMoRu3 | PBE | relaxed

The structure in CIF format:
```
data_AgMoRu3
_cell_length_a 4.646
_cell_length_b 4.646
_cell_length_c 4.646
_cell_angle_alpha 90.00
_cell_angle_beta 90.00
_cell_angle_gamma 90.00
_symmetry_space_group_name_H-M 'P m -3 m'
_symmetry_Int_Tables_number 221
_symmetry_space_group_name_Hall '-P 4 2 3'
loop_
_atom_site_label
_atom_site_fract_x
_atom_site_fract_y
_atom_site_fract_z
Ag1 0.000 0.000 0.000
Mo1 0.500 0.500 0.500
Ru1 0.000 0.000 0.500
```

Summary:
- VASP energy: -5.641 eV/atom
- Density: 8.4 g/cm3
- Magnetic moment: 0.0 Bohr magnetons per cell
- Excess energy over the best structure of this formula in the dataset: 25.33 kcal/mol of atoms
- Crystal system: cubic


Ag2MoRu | PBE | relaxed

The structure in CIF format:
```
data_Ag2MoRu
_cell_length_a 9.117
_cell_length_b 2.738
_cell_length_c 5.261
_cell_angle_alpha 90.00
_cell_angle_beta 95.86
_cell_angle_gamma 90.00
_symmetry_space_group_name_H-M 'C 1 m 1'
_symmetry_Int_Tables_number 8
_symmetry_space_group_name_Hall 'C -2y'
loop_
_atom_site_label
_atom_site_fract_x
_atom_site_fract_y
_atom_site_fract_z
Ag1 0.000 0.000 0.000
Ag2 0.248 0.500 0.220
Mo1 0.252 0.000 0.702
Ru1 0.490 0.000 0.520
```

Summary:
- VASP energy: -5.977 eV/atom
- Density: 10.5 g/cm3
- Magnetic moment: 0.0 Bohr magnetons per cell
- Excess energy over the best structure of this formula in the dataset: 6.28 kcal/mol of atoms
- Crystal system: monoclinic


Ag2MoRu | PBE | relaxed

The structure in CIF format:
```
data_Ag2MoRu
_cell_length_a 4.034
_cell_length_b 4.034
_cell_length_c 7.829
_cell_angle_alpha 90.00
_cell_angle_beta 90.00
_cell_angle_gamma 90.00
_symmetry_space_group_name_H-M 'I -4 m 2'
_symmetry_Int_Tables_number 119
_symmetry_space_group_name_Hall 'I -4 -2'
loop_
_atom_site_label
_atom_site_fract_x
_atom_site_fract_y
_atom_site_fract_z
Ag1 0.000 0.000 0.000
Ag2 0.000 0.500 0.250
Mo1 0.000 0.500 0.750
Ru1 0.000 0.000 0.500
```

Summary:
- VASP energy: -5.926 eV/atom
- Density: 10.8 g/cm3
- Magnetic moment: 0.0 Bohr magnetons per cell
- Excess energy over the best structure of this formula in the dataset: 7.47 kcal/mol of atoms
- Crystal system: tetragonal


AgMo4Ru | PBE | relaxed

The structure in CIF format:
```
data_AgMo4Ru
_cell_length_a 7.335
_cell_length_b 7.335
_cell_length_c 7.335
_cell_angle_alpha 90.00
_cell_angle_beta 90.00
_cell_angle_gamma 90.00
_symmetry_space_group_name_H-M 'F -4 3 m'
_symmetry_Int_Tables_number 216
_symmetry_space_group_name_Hall 'F -4 2 3'
loop_
_atom_site_label
_atom_site_fract_x
_atom_site_fract_y
_atom_site_fract_z
Ag1 0.000 0.000 0.000
Mo1 0.126 0.126 0.626
Ru1 0.250 0.250 0.250
```

Summary:
- VASP energy: -8.793 eV/atom
- Density: 10.0 g/cm3
- Magnetic moment: 0.0 Bohr magnetons per cell
- Crystal system: cubic


AgMoRu | PBE | relaxed

The structure in CIF format:
```
data_AgMoRu
_cell_length_a 6.056
_cell_length_b 6.056
_cell_length_c 6.056
_cell_angle_alpha 90.00
_cell_angle_beta 90.00
_cell_angle_gamma 90.00
_symmetry_space_group_name_H-M 'F -4 3 m'
_symmetry_Int_Tables_number 216
_symmetry_space_group_name_Hall 'F -4 2 3'
loop_
_atom_site_label
_atom_site_fract_x
_atom_site_fract_y
_atom_site_fract_z
Ag1 0.000 0.000 0.000
Mo1 0.000 0.000 0.500
Ru1 0.250 0.250 0.750
```

Summary:
- VASP energy: -6.782 eV/atom
- Density: 9.1 g/cm3
- Magnetic moment: 0.0 Bohr magnetons per cell
- Excess energy over the best structure of this formula in the dataset: 14.15 kcal/mol of atoms
- Crystal system: cubic


Ag2MoRu | PBE | relaxed

The structure in CIF format:
```
data_Ag2MoRu
_cell_length_a 9.900
_cell_length_b 2.799
_cell_length_c 4.718
_cell_angle_alpha 90.00
_cell_angle_beta 99.54
_cell_angle_gamma 90.00
_symmetry_space_group_name_H-M 'C 1 2/m 1'
_symmetry_Int_Tables_number 12
_symmetry_space_group_name_Hall '-C 2y'
loop_
_atom_site_label
_atom_site_fract_x
_atom_site_fract_y
_atom_site_fract_z
Ag1 0.249 0.000 0.249
Mo1 0.000 0.000 0.500
Ru1 0.000 0.500 0.000
```

Summary:
- VASP energy: -5.957 eV/atom
- Density: 10.6 g/cm3
- Magnetic moment: 0.7 Bohr magnetons per cell
- Excess energy over the best structure of this formula in the dataset: 6.74 kcal/mol of atoms
- Crystal system: monoclinic


AgMoRu | PBE | relaxed

The structure in CIF format:
```
data_AgMoRu
_cell_length_a 2.982
_cell_length_b 4.539
_cell_length_c 14.290
_cell_angle_alpha 90.00
_cell_angle_beta 90.00
_cell_angle_gamma 90.00
_symmetry_space_group_name_H-M 'F m m 2'
_symmetry_Int_Tables_number 42
_symmetry_space_group_name_Hall 'F 2 -2'
loop_
_atom_site_label
_atom_site_fract_x
_atom_site_fract_y
_atom_site_fract_z
Ag1 0.000 0.000 0.000
Mo1 0.000 0.000 0.323
Ru1 0.000 0.000 0.674
```

Summary:
- VASP energy: -7.239 eV/atom
- Density: 10.5 g/cm3
- Magnetic moment: 0.7 Bohr magnetons per cell
- Excess energy over the best structure of this formula in the dataset: 3.61 kcal/mol of atoms
- Crystal system: orthorhombic


AgMoRu | PBE | relaxed

The structure in CIF format:
```
data_AgMoRu
_cell_length_a 2.7916
_cell_length_b 2.7916
_cell_length_c 7.0634
_cell_angle_alpha 90.00
_cell_angle_beta 90.00
_cell_angle_gamma 120.00
_symmetry_space_group_name_H-M 'P 3 m 1'
_symmetry_Int_Tables_number 156
_symmetry_space_group_name_Hall 'P 3 -2"'
loop_
_atom_site_label
_atom_site_fract_x
_atom_site_fract_y
_atom_site_fract_z
Ag1 0.0000 0.0000 0.0000
Mo1 0.6667 0.3333 0.3573
Ru1 0.3333 0.6667 0.6508
```

Summary:
- VASP energy: -7.395 eV/atom
- Density: 10.6 g/cm3
- Magnetic moment: 0.0 Bohr magnetons per cell
- Excess energy over the best structure of this formula in the dataset: 0.00 kcal/mol of atoms
- Crystal system: trigonal


AgMoRu | PBE | relaxed

The structure in CIF format:
```
data_AgMoRu
_cell_length_a 2.816
_cell_length_b 3.901
_cell_length_c 8.526
_cell_angle_alpha 90.00
_cell_angle_beta 90.00
_cell_angle_gamma 90.00
_symmetry_space_group_name_H-M 'I m m 2'
_symmetry_Int_Tables_number 44
_symmetry_space_group_name_Hall 'I 2 -2'
loop_
_atom_site_label
_atom_site_fract_x
_atom_site_fract_y
_atom_site_fract_z
Ag1 0.000 0.000 0.000
Mo1 0.000 0.000 0.677
Ru1 0.000 0.000 0.326
```

Summary:
- VASP energy: -7.277 eV/atom
- Density: 10.8 g/cm3
- Magnetic moment: 0.0 Bohr magnetons per cell
- Excess energy over the best structure of this formula in the dataset: 2.73 kcal/mol of atoms
- Crystal system: orthorhombic


Ag2MoRu | PBE | relaxed

The structure in CIF format:
```
data_Ag2MoRu
_cell_length_a 3.012
_cell_length_b 4.586
_cell_length_c 9.555
_cell_angle_alpha 90.00
_cell_angle_beta 90.00
_cell_angle_gamma 90.00
_symmetry_space_group_name_H-M 'C m m 2'
_symmetry_Int_Tables_number 35
_symmetry_space_group_name_Hall 'C 2 -2'
loop_
_atom_site_label
_atom_site_fract_x
_atom_site_fract_y
_atom_site_fract_z
Ag1 0.000 0.000 0.000
Ag2 0.000 0.500 0.261
Mo1 0.000 0.500 0.737
Ru1 0.000 0.000 0.518
```

Summary:
- VASP energy: -6.127 eV/atom
- Density: 10.4 g/cm3
- Magnetic moment: 0.6 Bohr magnetons per cell
- Excess energy over the best structure of this formula in the dataset: 2.82 kcal/mol of atoms
- Crystal system: orthorhombic


Ag2MoRu | PBE | relaxed

The structure in CIF format:
```
data_Ag2MoRu
_cell_length_a 7.466
_cell_length_b 7.466
_cell_length_c 5.123
_cell_angle_alpha 90.00
_cell_angle_beta 90.00
_cell_angle_gamma 90.00
_symmetry_space_group_name_H-M 'I -4 2 d'
_symmetry_Int_Tables_number 122
_symmetry_space_group_name_Hall 'I -4 2bw'
loop_
_atom_site_label
_atom_site_fract_x
_atom_site_fract_y
_atom_site_fract_z
Ag1 0.245 0.250 0.125
Mo1 0.000 0.000 0.500
Ru1 0.000 0.000 0.000
```

Summary:
- VASP energy: -5.299 eV/atom
- Density: 9.6 g/cm3
- Magnetic moment: 3.9 Bohr magnetons per cell
- Excess energy over the best structure of this formula in the dataset: 21.91 kcal/mol of atoms
- Crystal system: tetragonal


AgMoRu | PBE | relaxed

The structure in CIF format:
```
data_AgMoRu
_cell_length_a 2.905
_cell_length_b 2.905
_cell_length_c 11.500
_cell_angle_alpha 90.00
_cell_angle_beta 90.00
_cell_angle_gamma 90.00
_symmetry_space_group_name_H-M 'I 4 m m'
_symmetry_Int_Tables_number 107
_symmetry_space_group_name_Hall 'I 4 -2'
loop_
_atom_site_label
_atom_site_fract_x
_atom_site_fract_y
_atom_site_fract_z
Ag1 0.000 0.000 0.000
Mo1 0.000 0.000 0.314
Ru1 0.000 0.000 0.680
```

Summary:
- VASP energy: -7.326 eV/atom
- Density: 10.4 g/cm3
- Magnetic moment: 0.0 Bohr magnetons per cell
- Excess energy over the best structure of this formula in the dataset: 1.60 kcal/mol of atoms
- Crystal system: tetragonal


Ag2MoRu | PBE | relaxed

The structure in CIF format:
```
data_Ag2MoRu
_cell_length_a 3.086
_cell_length_b 4.385
_cell_length_c 9.671
_cell_angle_alpha 90.00
_cell_angle_beta 90.00
_cell_angle_gamma 90.00
_symmetry_space_group_name_H-M 'C m m m'
_symmetry_Int_Tables_number 65
_symmetry_space_group_name_Hall '-C 2 2'
loop_
_atom_site_label
_atom_site_fract_x
_atom_site_fract_y
_atom_site_fract_z
Ag1 0.000 0.000 0.247
Mo1 0.000 0.500 0.500
Ru1 0.000 0.500 0.000
```

Summary:
- VASP energy: -5.860 eV/atom
- Density: 10.5 g/cm3
- Magnetic moment: 2.0 Bohr magnetons per cell
- Excess energy over the best structure of this formula in the dataset: 8.97 kcal/mol of atoms
- Crystal system: orthorhombic


Calculated formation energy
In order: 0.562 2.660 0.475 0.527 0.449 0.871 0.495 0.414 0.257 0.376 0.325 1.153 0.327 0.592
Unit: eV/atom